Record 1
VASP calculation (PBE) on an optimized crystal structure of Np2TlP2N6.

* uncorrected formation energy: -40.8 kJ/mol of atoms
* total magnetization: 0.45 μB/atom

Cell and atoms, written as CIF:
```
data_Np2TlP2N6
_cell_length_a 11.404
_cell_length_b 6.154
_cell_length_c 5.891
_cell_angle_alpha 90.00
_cell_angle_beta 119.54
_cell_angle_gamma 90.00
_symmetry_space_group_name_H-M 'C 1 2/m 1'
_symmetry_Int_Tables_number 12
_symmetry_space_group_name_Hall '-C 2y'
loop_
_atom_site_label
_atom_site_type_symbol
_atom_site_fract_x
_atom_site_fract_y
_atom_site_fract_z
Np1 Np 0.174 0.000 0.042
Tl1 Tl 0.000 0.500 0.000
P1 P 0.177 0.000 0.547
N1 N 0.047 0.000 0.258
N2 N 0.209 0.211 0.739
```

Record 2
VASP calculation (PBE) on an optimized crystal structure of Np3TlP4N12.

* uncorrected formation energy: -35.7 kJ/mol of atoms
* total magnetization: 0.30 μB/atom

Cell and atoms, written as CIF:
```
data_Np3TlP4N12
_cell_length_a 10.8494
_cell_length_b 10.8494
_cell_length_c 9.0043
_cell_angle_alpha 90.00
_cell_angle_beta 90.00
_cell_angle_gamma 120.00
_symmetry_space_group_name_H-M 'R 3 2'
_symmetry_Int_Tables_number 155
_symmetry_space_group_name_Hall 'R 3 2"'
loop_
_atom_site_label
_atom_site_type_symbol
_atom_site_fract_x
_atom_site_fract_y
_atom_site_fract_z
Np1 Np 0.0000 0.5541 0.0000
Tl1 Tl 0.0000 0.0000 0.0000
P1 P 0.0000 0.0000 0.5000
P2 P 0.0000 0.4443 0.5000
N1 N 0.0000 0.5918 0.5000
N2 N 0.0000 0.8535 0.5000
N3 N 0.0302 0.2220 0.2057
```